Arrangement w

An optimized crystal structure of Pu2UCo, computed with PBE-GGA.

Summary:
The calculation puts the density of states at the Fermi level at 11.5 states/eV/f.u.

Cell: 3.355 3.355 6.764 Å, 90.00 90.00 90.00°
Space group P4/mmm (No. 123)
Asymmetric unit:
Pu 0.000 0.000 0.225 [2 per cell]
U 0.500 0.500 0.500 [1 per cell]
Co 0.500 0.500 0.000 [1 per cell]

---

Arrangement x

An optimized crystal structure of Pu2UCo, computed with PBE-GGA.

Summary:
The calculation puts the density of states at the Fermi level at 7.9 states/eV/f.u.

Cell: 4.3765 4.3765 14.6624 Å, 90.00 90.00 120.00°
Space group R-3m (No. 166, hexagonal axes)
Asymmetric unit:
Pu 0.0000 0.0000 0.1615 [6 per cell]
U 0.0000 0.0000 0.0000 [3 per cell]
Co 0.0000 0.0000 0.5000 [3 per cell]

---

arrangement w takes first place; second place is 36.2 kJ/mol of atoms up.

---

Arrangement w

An optimized crystal structure of Pu2VCo, computed with PBE-GGA.

Summary:
The calculation puts the density of states at the Fermi level at 10.0 states/eV/f.u.

Cell: 2.7516 2.7516 29.5677 Å, 90.00 90.00 120.00°
Space group R-3m (No. 166, hexagonal axes)
Asymmetric unit:
Pu 0.0000 0.0000 0.0875 [6 per cell]
V 0.0000 0.0000 0.0000 [3 per cell]
Co 0.0000 0.0000 0.5000 [3 per cell]

---

Arrangement x

An optimized crystal structure of Pu2VCo, computed with PBE-GGA.

Summary:
The calculation puts the density of states at the Fermi level at 10.5 states/eV/f.u.

Cell: 3.487 3.487 4.911 Å, 90.00 90.00 90.00°
Space group P4/mmm (No. 123)
Asymmetric unit:
Pu 0.000 0.500 0.000 [2 per cell]
V 0.000 0.000 0.500 [1 per cell]
Co 0.500 0.500 0.500 [1 per cell]

---

arrangement x takes first place; second place is 14.5 kJ/mol of atoms up.

---

Arrangement w

An optimized crystal structure of PuVCo, computed with PBE-GGA.

Summary:
The calculation puts the density of states at the Fermi level at 5.2 states/eV/f.u.

Cell: 4.798 6.690 11.343 Å, 90.00 90.00 90.00°
Space group Fmmm (No. 69)
Asymmetric unit:
Pu 0.000 0.176 0.000 [8 per cell]
V 0.250 0.250 0.250 [8 per cell]
Co 0.000 0.000 0.380 [8 per cell]

---

Arrangement x

An optimized crystal structure of PuVCo, computed with PBE-GGA.

Summary:
The calculation puts the density of states at the Fermi level at 6.1 states/eV/f.u.

Cell: 4.3232 4.3232 2.7371 Å, 90.00 90.00 120.00°
Space group P3m1 (No. 156)
Asymmetric unit:
Pu 0.0000 0.0000 0.0000 [1 per cell]
V 0.3333 0.6667 0.2072 [1 per cell]
Co 0.6667 0.3333 0.6706 [1 per cell]

---

arrangement x takes first place; second place is 8.7 kJ/mol of atoms up.

---

Arrangement w

An optimized crystal structure of Y2PuCo, computed with PBE-GGA.

Summary:
The calculation puts the density of states at the Fermi level at 8.2 states/eV/f.u.

Cell: 3.376 3.376 8.727 Å, 90.00 90.00 90.00°
Space group P4/mmm (No. 123)
Asymmetric unit:
Y 0.000 0.000 0.188 [2 per cell]
Pu 0.500 0.500 0.500 [1 per cell]
Co 0.500 0.500 0.000 [1 per cell]

---

Arrangement x

An optimized crystal structure of Y2PuCo, computed with PBE-GGA.

Summary:
The calculation puts the density of states at the Fermi level at 11.4 states/eV/f.u.

Cell: 3.5605 3.5605 30.5265 Å, 90.00 90.00 120.00°
Space group R-3m (No. 166, hexagonal axes)
Asymmetric unit:
Y 0.0000 0.0000 0.1119 [6 per cell]
Pu 0.0000 0.0000 0.0000 [3 per cell]
Co 0.0000 0.0000 0.5000 [3 per cell]

---

arrangement w takes first place; second place is 25.6 kJ/mol of atoms up.

---

Arrangement w

An optimized crystal structure of PuZrCo, computed with PBE-GGA.

Summary:
The calculation puts the density of states at the Fermi level at 6.0 states/eV/f.u.

Cell: 9.329 4.698 5.381 Å, 90.00 108.86 90.00°
Space group C2/m (No. 12)
Asymmetric unit:
Pu 0.058 0.000 0.278 [4 per cell]
Zr 0.140 0.500 0.816 [4 per cell]
Co 0.215 0.500 0.334 [4 per cell]

---

Arrangement x

An optimized crystal structure of PuZrCo, computed with PBE-GGA.

Summary:
The calculation puts the density of states at the Fermi level at 8.9 states/eV/f.u.

Cell: 3.250 3.250 11.347 Å, 90.00 90.00 90.00°
Space group I4mm (No. 107)
Asymmetric unit:
Pu 0.000 0.000 0.000 [2 per cell]
Zr 0.000 0.000 0.282 [2 per cell]
Co 0.000 0.000 0.667 [2 per cell]

---

arrangement w takes first place; second place is 4.6 kJ/mol of atoms up.

---

Arrangement w

An optimized crystal structure of Rb2CoRe, computed with PBE-GGA.

Summary:
The calculation puts the density of states at the Fermi level at 23.3 states/eV/f.u.

Cell: 8.230 8.230 8.230 Å, 90.00 90.00 90.00°
Space group Fm-3m (No. 225)
Asymmetric unit:
Rb 0.250 0.250 0.250 [8 per cell]
Co 0.000 0.000 0.000 [4 per cell]
Re 0.000 0.000 0.500 [4 per cell]

---

Arrangement x

An optimized crystal structure of Rb2CoRe, computed with PBE-GGA.

Summary:
The calculation puts the density of states at the Fermi level at 3.9 states/eV/f.u.

Cell: 12.951 12.951 4.440 Å, 90.00 90.00 90.00°
Space group I-42d (No. 122)
Asymmetric unit:
Rb 0.061 0.750 0.125 [8 per cell]
Co 0.000 0.000 0.000 [4 per cell]
Re 0.000 0.000 0.500 [4 per cell]

---

arrangement x takes first place; second place is 92.7 kJ/mol of atoms up.

---

Arrangement w

An optimized crystal structure of RbCoRe3, computed with PBE-GGA.

Summary:
The calculation puts the density of states at the Fermi level at 7.3 states/eV/f.u.

Cell: 4.601 4.601 4.601 Å, 90.00 90.00 90.00°
Space group Pm-3m (No. 221)
Asymmetric unit:
Rb 0.000 0.000 0.000 [1 per cell]
Co 0.500 0.500 0.500 [1 per cell]
Re 0.000 0.000 0.500 [3 per cell]

---

Arrangement x

An optimized crystal structure of RbCoRe3, computed with PBE-GGA.

Summary:
The calculation puts the density of states at the Fermi level at 5.9 states/eV/f.u.

Cell: 4.635 4.635 4.635 Å, 90.00 90.00 90.00°
Space group Pm-3m (No. 221)
Asymmetric unit:
Rb 0.000 0.000 0.000 [1 per cell]
Co 0.500 0.500 0.500 [1 per cell]
Re 0.000 0.500 0.500 [3 per cell]

---

arrangement x takes first place; second place is 209.5 kJ/mol of atoms up.

---

Arrangement w

An optimized crystal structure of Rb2CoRh, computed with PBE-GGA.

Summary:
The calculation puts the density of states at the Fermi level at 4.2 states/eV/f.u.

Cell: 12.665 12.665 4.587 Å, 90.00 90.00 90.00°
Space group I-42d (No. 122)
Asymmetric unit:
Rb 0.056 0.250 0.125 [8 per cell]
Co 0.000 0.000 0.500 [4 per cell]
Rh 0.000 0.000 0.000 [4 per cell]

---

Arrangement x

An optimized crystal structure of Rb2CoRh, computed with PBE-GGA.

Summary:
The calculation puts the density of states at the Fermi level at 37.4 states/eV/f.u.

Cell: 7.860 7.860 7.860 Å, 90.00 90.00 90.00°
Space group Fm-3m (No. 225)
Asymmetric unit:
Rb 0.250 0.250 0.250 [8 per cell]
Co 0.000 0.000 0.000 [4 per cell]
Rh 0.000 0.000 0.500 [4 per cell]

---

arrangement w takes first place; second place is 63.2 kJ/mol of atoms up.